First-principles (PBE-GGA) data for Sc7Cl12 after structural relaxation, as listed in the Alexandria database.

Energy   -5.270 eV per atom
V   23.79 Å³ per atom

```
19
Lattice="8.191 0.000 0.000 -2.454 7.814 0.000 -2.454 -3.343 7.063" Properties=species:S:1:pos:R:3 pbc="T T T"
Cl 2.441 -0.044 2.700
Cl 4.877 1.470 0.532
Cl 4.885 -0.137 5.507
Cl 1.667 1.406 5.947
Cl -0.059 -1.698 4.831
Cl -1.603 4.608 1.556
Cl 0.842 4.515 4.363
Cl 4.055 3.021 3.815
Cl -0.773 1.450 3.248
Cl 3.341 6.169 2.232
Cl -1.595 3.001 6.531
Cl 1.615 3.065 1.115
Sc 1.641 2.236 3.531
Sc 0.015 -0.809 2.163
Sc 4.059 2.419 6.344
Sc 1.091 3.767 6.869
Sc 2.191 0.704 0.194
Sc 3.267 5.280 4.900
Sc -0.776 2.052 0.719
```

=====

First-principles (PBE-GGA) data for GaCo2B2 after structural relaxation, as listed in the Alexandria database.

Energy   -6.316 eV per atom
V   9.42 Å³ per atom
ΔE to the lowest computed polymorph   0.0 kJ per mole of atoms

```
5
Lattice="2.845 0.000 0.000 0.000 2.845 0.000 1.423 1.423 5.819" Properties=species:S:1:pos:R:3 pbc="T T T"
Co 1.423 1.423 1.451
Co 2.845 2.845 4.367
B 1.423 2.845 2.909
B 2.845 1.423 2.909
Ga 0.000 0.000 0.000
```

=====

First-principles (PBE-GGA) data for TiMnN2 after structural relaxation, as listed in the Alexandria database.

Energy   -9.200 eV per atom
V   9.45 Å³ per atom

```
4
Lattice="-0.100 -2.368 -1.743 2.226 -1.924 0.003 -1.552 -4.041 3.096" Properties=species:S:1:pos:R:3 pbc="T T T"
Ti -0.110 -6.874 1.895
N 0.174 -2.048 0.290
N -1.004 -3.409 2.205
Mn 0.249 -4.210 0.740
```

=====

First-principles (PBE-GGA) data for TbHo4Mg3 after structural relaxation, as listed in the Alexandria database.

Energy   -3.468 eV per atom
V   28.15 Å³ per atom

```
8
Lattice="-1.604 -3.394 0.456 -0.036 -0.706 -5.378 9.942 -4.625 0.541" Properties=species:S:1:pos:R:3 pbc="T T T"
Mg 6.640 -5.159 0.633
Mg 4.151 -4.363 -2.190
Mg 1.698 -2.860 0.364
Tb -0.820 -2.050 -2.461
Ho 4.971 -2.313 0.270
Ho 0.000 0.000 0.000
Ho 2.590 -1.566 -2.547
Ho 7.316 -3.765 -2.290
```

=====

First-principles (PBE-GGA) data for Mn4Pt3 after structural relaxation, as listed in the Alexandria database.

Energy   -7.789 eV per atom
V   15.25 Å³ per atom
ΔE to the lowest computed polymorph   10.2 kJ per mole of atoms

```
7
Lattice="2.620 -4.539 0.000 2.620 4.539 0.000 0.000 0.000 4.488" Properties=species:S:1:pos:R:3 pbc="T T T"
Mn 2.620 1.513 2.244
Mn 0.000 0.000 3.263
Mn 0.000 0.000 1.226
Mn 2.620 -1.513 2.244
Pt 1.310 2.269 0.000
Pt 2.620 0.000 0.000
Pt 1.310 -2.269 0.000
```

=====

First-principles (PBE-GGA) data for Sc2B after structural relaxation, as listed in the Alexandria database.

Energy   -6.523 eV per atom
V   18.90 Å³ per atom
ΔE to the lowest computed polymorph   7.0 kJ per mole of atoms

```
6
Lattice="-1.621 2.527 5.225 -2.810 -2.413 0.295 3.441 -3.869 1.132" Properties=species:S:1:pos:R:3 pbc="T T T"
Sc 1.255 -0.890 4.676
Sc -1.870 -0.162 4.257
Sc 0.565 -0.453 1.681
Sc 0.881 -3.594 2.395
B -0.495 -1.878 3.326
B -0.810 1.263 2.613
```

=====

First-principles (PBE-GGA) data for Y3Er8Tm2 after structural relaxation, as listed in the Alexandria database.

Energy   -4.743 eV per atom
V   32.41 Å³ per atom
ΔE to the lowest computed polymorph   21.1 kJ per mole of atoms

```
13
Lattice="-4.595 0.967 -2.988 -1.344 -7.437 -0.340 -4.685 4.304 8.600" Properties=species:S:1:pos:R:3 pbc="T T T"
Er -4.589 -3.291 5.993
Er -3.863 -1.533 0.261
Er -8.142 1.355 2.597
Er -6.035 1.124 -0.721
Er -4.432 -4.681 0.118
Er -6.192 2.514 5.155
Er -2.482 -3.522 2.675
Er -6.761 -0.634 5.012
Tm -5.740 -2.933 2.693
Tm -4.884 0.766 2.579
Y -2.298 0.483 -1.494
Y -0.382 -2.114 -0.096
Y -10.242 -0.053 5.368
```

=====

First-principles (PBE-GGA) data for YGa4Pd6 after structural relaxation, as listed in the Alexandria database.

Energy   -5.069 eV per atom
V   17.25 Å³ per atom
ΔE to the lowest computed polymorph   20.3 kJ per mole of atoms

```
11
Lattice="-1.531 6.206 -4.283 4.029 -6.543 -0.397 -3.149 -6.779 1.826" Properties=species:S:1:pos:R:3 pbc="T T T"
Pd -0.631 2.175 -1.805
Pd 2.626 -8.966 0.340
Pd -0.333 -4.546 -1.558
Pd -2.340 -0.286 -1.229
Pd 1.249 -0.168 -2.340
Pd -1.432 -9.100 1.597
Ga 0.150 -8.636 -0.433
Ga -0.561 -2.088 -2.035
Ga -1.027 -4.901 0.938
Ga 1.669 -4.812 0.103
Y 0.000 0.000 0.000
```

=====

First-principles (PBE-GGA) data for Ba2ScCr after structural relaxation, as listed in the Alexandria database.

Energy   -4.286 eV per atom
V   34.68 Å³ per atom
ΔE to the lowest computed polymorph   21.3 kJ per mole of atoms

```
4
Lattice="5.797 -0.412 0.000 0.418 5.796 0.000 -3.107 -2.692 4.107" Properties=species:S:1:pos:R:3 pbc="T T T"
Ba 0.209 2.898 2.054
Ba 0.000 0.000 0.000
Cr 3.107 2.692 0.000
Sc 2.898 -0.206 2.054
```

=====

First-principles (PBE-GGA) data for Y2HoPd4 after structural relaxation, as listed in the Alexandria database.

Energy   -5.764 eV per atom
V   26.12 Å³ per atom

```
7
Lattice="4.949 -0.937 -1.093 -1.314 4.862 -1.092 0.087 0.095 7.957" Properties=species:S:1:pos:R:3 pbc="T T T"
Y 2.317 2.503 0.710
Y 1.404 1.518 5.062
Ho 0.000 0.000 0.000
Pd 2.474 -0.468 -0.546
Pd 3.024 3.267 3.258
Pd -0.657 2.431 -0.546
Pd 0.697 0.754 2.514
```

=====

First-principles (PBE-GGA) data for Mg7InAg5 after structural relaxation, as listed in the Alexandria database.

Energy   -2.298 eV per atom
V   20.59 Å³ per atom

```
13
Lattice="5.592 0.000 0.000 2.796 6.919 0.007 2.796 -0.015 6.919" Properties=species:S:1:pos:R:3 pbc="T T T"
Mg 5.592 0.909 5.534
Mg 2.796 2.124 4.576
Mg 5.592 2.779 2.788
Mg 2.796 1.608 1.613
Mg 5.592 5.242 5.259
Mg 5.592 5.531 0.927
Mg 2.796 4.569 2.138
Ag 6.995 3.222 6.850
Ag 6.995 6.840 3.244
Ag 4.190 3.222 6.850
Ag 4.190 6.840 3.244
Ag 8.389 4.942 4.958
In 5.592 0.500 0.502
```

=====

First-principles (PBE-GGA) data for Ta2AgPb after structural relaxation, as listed in the Alexandria database.

Energy   -7.193 eV per atom
V   20.41 Å³ per atom

```
4
Lattice="3.602 0.000 0.000 0.000 3.487 0.575 0.000 2.443 6.904" Properties=species:S:1:pos:R:3 pbc="T T T"
Ag 0.000 2.977 3.668
Ta 1.801 1.507 1.719
Ta 0.000 3.446 0.823
Pb 1.801 4.452 5.583
```

=====

| no. | DOS at the Fermi energy (states/eV per atom) |
| --- | --- |
| 1 | 0.254 |
| 2 | 0.348 |
| 3 | 0.539 |
| 4 | 1.330 |
| 5 | 0.701 |
| 6 | 0.999 |
| 7 | 1.667 |
| 8 | 0.155 |
| 9 | 1.405 |
| 10 | 0.458 |
| 11 | 0.317 |
| 12 | 0.718 |